Record 1
DFT (GGA-PBE) results for a relaxed AgBiRh crystal.

Lattice parameters (Å, degrees): 4.530 4.530 4.530 60.00 60.00 60.00
Fractional coordinates of all 3 atoms:
1 Bi 0.000 0.000 0.000
2 Ag 0.500 0.500 0.500
3 Rh 0.250 0.250 0.250

Values from the calculation:
Raw total energy = -4.6302 eV per atom
Polymorph energy (0 for the lowest one) = 0 meV per atom

=====

Record 2
DFT (GGA-PBE) results for a relaxed AgBi3Rh crystal.

Lattice parameters (Å, degrees): 5.320 5.320 5.320 90.00 90.00 90.00
Fractional coordinates of all 5 atoms:
1 Bi 0.000 0.000 0.500
2 Bi 0.000 0.500 0.000
3 Bi 0.500 0.000 0.000
4 Rh 0.000 0.000 0.000
5 Ag 0.500 0.500 0.500

Values from the calculation:
Raw total energy = -3.9904 eV per atom
Polymorph energy (0 for the lowest one) = 403 meV per atom